Cu2Hg2Rh | Alexandria | PBE | optimized geometry; total magnetic moment = 0.0 μB/cell; calculated formation energy = 0.25 eV per atom; space-group type = P4/mbm (127); V = 16.58 Å³/atom
1.0
6.821 0.000 0.000
0.000 6.821 0.000
0.000 0.000 3.563
Cu Hg Rh
4 4 2
Cartesian
0.860 2.550 0.000
2.550 5.961 0.000
4.271 0.860 0.000
5.961 4.271 0.000
1.202 4.613 1.781
2.209 1.202 1.781
4.613 5.619 1.781
5.619 2.209 1.781
0.000 0.000 0.000
3.411 3.411 0.000